(1)
SrAsH after structural relaxation. Source: the Alexandria database, functional PBE.

```
data_SrAsH
_space_group_name_H-M_alt 'P n m a'
_space_group_IT_number 62
_cell_length_a 6.500
_cell_length_b 6.463
_cell_length_c 6.587
_cell_angle_alpha 90.00
_cell_angle_beta 90.00
_cell_angle_gamma 90.00
loop_
_space_group_symop_operation_xyz
'x,y,z'
'-x,-y,-z'
'-x+1/2,-y,z+1/2'
'x+1/2,y,-z+1/2'
'x+1/2,-y+1/2,-z+1/2'
'-x+1/2,y+1/2,z+1/2'
'-x,y+1/2,-z'
'x,-y+1/2,z'
loop_
_atom_site_label
_atom_site_type_symbol
_atom_site_fract_x
_atom_site_fract_y
_atom_site_fract_z
Sr1 Sr 0.244 0.250 0.011
As1 As 0.248 0.750 0.989
H1 H 0.088 0.250 0.663
```

Properties
Distance to the lowest polymorph of the same formula, meV per atom: 42
Density of states at the Fermi level, states/eV/cell: 0.00
Volume, A^3/atom: 23.1
Magnetic moment, μB/atom: 0.000

=====

(2)
Sr4AsH2 after structural relaxation. Source: the Alexandria database, functional PBE.

```
data_Sr4AsH2
_space_group_name_H-M_alt 'I 4/m m m'
_space_group_IT_number 139
_space_group_name_Hall '-I 4 2'
_cell_length_a 5.939
_cell_length_b 5.939
_cell_length_c 13.374
_cell_angle_alpha 90.00
_cell_angle_beta 90.00
_cell_angle_gamma 90.00
loop_
_atom_site_label
_atom_site_type_symbol
_atom_site_fract_x
_atom_site_fract_y
_atom_site_fract_z
Sr1 Sr 0.000 0.000 0.234
Sr2 Sr 0.000 0.500 0.000
As1 As 0.000 0.000 0.000
H1 H 0.000 0.000 0.412
```

Properties
Density of states at the Fermi level, states/eV/cell: 4.75
DFT total energy, eV per atom: -2.984
Volume, A^3/atom: 33.7
Magnetic moment, μB/atom: 0.138